[1]
Here is a geometry-optimized LiTaNi6 structure from Alexandria via LeMat-Bulk. Energies are from PBE-GGA.

Structure (POSCAR):
```
LiTaNi6
1.0
3.590 -5.112 0.000
3.590 5.112 0.000
0.000 0.000 10.211
Li Ta Ni
4 4 24
Direct
0.000 0.000 0.246
0.000 0.000 0.754
0.256 0.744 0.000
0.744 0.256 0.000
0.254 0.746 0.500
0.500 0.500 0.243
0.500 0.500 0.757
0.746 0.254 0.500
0.000 0.000 0.000
0.000 0.000 0.500
0.119 0.372 0.122
0.119 0.372 0.878
0.123 0.370 0.373
0.123 0.370 0.627
0.250 0.750 0.246
0.250 0.750 0.754
0.370 0.123 0.373
0.370 0.123 0.627
0.372 0.119 0.122
0.372 0.119 0.878
0.500 0.500 0.000
0.500 0.500 0.500
0.628 0.881 0.122
0.628 0.881 0.878
0.630 0.877 0.373
0.630 0.877 0.627
0.750 0.250 0.246
0.750 0.250 0.754
0.877 0.630 0.373
0.877 0.630 0.627
0.881 0.628 0.122
0.881 0.628 0.878
```

=====

[2]
Here is a geometry-optimized Li2TaNi2 structure from Alexandria via LeMat-Bulk. Energies are from PBE-GGA.

Structure (POSCAR):
```
Li2TaNi2
1.0
-1.629 1.629 6.384
1.629 -1.629 6.384
1.629 1.629 -6.384
Li Ta Ni
2 1 2
Direct
0.250 0.750 0.500
0.750 0.250 0.500
0.000 0.000 0.000
0.405 0.405 0.000
0.595 0.595 0.000
```

Output
energy above the lowest structure with this stoichiometry: 0 meV per atom

=====

[3]
Here is a geometry-optimized Li2TaNi structure from Alexandria via LeMat-Bulk. Energies are from PBE-GGA.

Structure (POSCAR):
```
Li2TaNi
1.0
2.691 0.000 0.000
0.000 3.978 0.000
-1.340 0.000 5.578
Li Ta Ni
2 1 1
Direct
0.000 0.000 0.000
0.403 0.500 0.807
0.733 0.000 0.463
0.149 0.500 0.293
```

Output
energy above the lowest structure with this stoichiometry: 47 meV per atom

=====

[4]
Here is a geometry-optimized LiTa2Ni structure from Alexandria via LeMat-Bulk. Energies are from PBE-GGA.

Structure (POSCAR):
```
LiTa2Ni
1.0
0.000 3.142 3.142
3.142 0.000 3.142
3.142 3.142 0.000
Li Ta Ni
1 2 1
Direct
0.000 0.000 0.000
0.500 0.500 0.500
0.750 0.750 0.750
0.250 0.250 0.250
```

Output
energy above the lowest structure with this stoichiometry: 359 meV per atom

=====

[5]
Here is a geometry-optimized Li2TaNi structure from Alexandria via LeMat-Bulk. Energies are from PBE-GGA.

Structure (POSCAR):
```
Li2TaNi
1.0
-1.760 1.760 4.774
1.760 -1.760 4.774
1.760 1.760 -4.774
Li Ta Ni
2 1 1
Direct
0.250 0.750 0.500
0.750 0.250 0.500
0.000 0.000 0.000
0.500 0.500 0.000
```

Output
energy above the lowest structure with this stoichiometry: 202 meV per atom

=====

[6]
Here is a geometry-optimized LiTa2Ni structure from Alexandria via LeMat-Bulk. Energies are from PBE-GGA.

Structure (POSCAR):
```
LiTa2Ni
1.0
2.777 0.000 0.000
0.000 3.938 0.000
-0.809 0.000 5.479
Li Ta Ni
1 2 1
Direct
0.000 0.000 0.000
0.486 0.500 0.741
0.514 0.500 0.259
0.000 0.000 0.500
```

Output
energy above the lowest structure with this stoichiometry: 106 meV per atom

=====

[7]
Here is a geometry-optimized Li3TaNi structure from Alexandria via LeMat-Bulk. Energies are from PBE-GGA.

Structure (POSCAR):
```
Li3TaNi
1.0
4.168 0.000 0.000
0.000 4.168 0.000
0.000 0.000 4.168
Li Ta Ni
3 1 1
Direct
0.000 0.000 0.500
0.000 0.500 0.000
0.500 0.000 0.000
0.500 0.500 0.500
0.000 0.000 0.000
```

Output
energy above the lowest structure with this stoichiometry: 0 meV per atom

=====

[8]
Here is a geometry-optimized LiTa2Ni structure from Alexandria via LeMat-Bulk. Energies are from PBE-GGA.

Structure (POSCAR):
```
LiTa2Ni
1.0
2.722 0.000 0.000
0.000 4.105 0.000
-1.361 0.000 5.322
Li Ta Ni
1 2 1
Direct
0.000 0.000 0.000
0.392 0.500 0.786
0.728 0.000 0.464
0.114 0.500 0.244
```

Output
energy above the lowest structure with this stoichiometry: 69 meV per atom

=====

no.,energy (eV for the cell shown),calculated formation energy (eV per atom),calculated volume (Å³ per cell)
1,-199.9,-0.1904,375
2,-27.0,0.0394,68
3,-20.8,0.1564,60
4,-29.6,0.4589,62
5,-20.2,0.3112,59
6,-30.6,0.2056,60
7,-18.6,0.9452,72
8,-30.7,0.1687,59